First-principles (PBE) data for crystalline V2Co3N4 at its relaxed geometry, as listed in Alexandria via LeMat-Bulk.

a = 5.521 Å, b = 7.164 Å, c = 5.646 Å
α = 90.00°, β = 89.49°, γ = 130.45°
Element x y z (fractional)
V: 0.357 0.552 0.847
V: 0.357 0.805 0.347
V: 0.643 0.195 0.653
V: 0.643 0.448 0.153
N: 0.297 0.759 0.006
N: 0.703 0.241 0.994
N: 0.214 0.945 0.530
N: 0.214 0.269 0.030
N: 0.703 0.462 0.494
N: 0.786 0.731 0.970
N: 0.786 0.055 0.470
N: 0.297 0.538 0.506
Co: 0.000 0.668 0.750
Co: 0.757 0.772 0.489
Co: 0.000 0.332 0.250
Co: 0.757 0.985 0.989
Co: 0.243 0.015 0.011
Co: 0.243 0.228 0.511

space group	C2/c
final energy	-0.3065	Ha/atom
formation energy without anion corrections	-0.25	eV per atom

First-principles (PBE) data for crystalline Ba2CdPd2 at its relaxed geometry, as listed in Alexandria via LeMat-Bulk.

a = 6.305 Å, b = 6.281 Å, c = 8.711 Å
α = 102.16°, β = 90.00°, γ = 120.12°
Element x y z (fractional)
Ba: 0.209 0.704 0.353
Ba: 0.495 0.704 0.853
Ba: 0.791 0.296 0.647
Ba: 0.505 0.296 0.147
Pd: 0.002 0.725 0.995
Pd: 0.277 0.275 0.505
Pd: 0.723 0.725 0.495
Pd: 0.998 0.275 0.005
Cd: 0.871 0.000 0.250
Cd: 0.129 0.000 0.750

DFT formation energy	-519	meV per atom
space group	C2/c
final energy	-0.1304	Ha/atom

First-principles (PBE) data for crystalline HoBeGa2Au4 at its relaxed geometry, as listed in Alexandria via LeMat-Bulk.

a = 4.429 Å, b = 4.429 Å, c = 8.853 Å
α = 75.51°, β = 75.51°, γ = 60.00°
Element x y z (fractional)
Be: 0.500 0.500 0.500
Au: 0.140 0.140 0.579
Au: 0.600 0.600 0.200
Au: 0.400 0.400 0.800
Au: 0.860 0.860 0.421
Ho: 0.000 0.000 0.000
Ga: 0.252 0.252 0.245
Ga: 0.748 0.748 0.755

DFT formation energy	-382	meV per atom
space group	R-3m
final energy	-0.1402	Ha/atom

First-principles (PBE) data for crystalline Ac12TbY3 at its relaxed geometry, as listed in Alexandria via LeMat-Bulk.

a = 5.496 Å, b = 5.496 Å, c = 21.974 Å
α = 90.00°, β = 90.00°, γ = 90.00°
Element x y z (fractional)
Ac: 0.500 0.000 0.875
Ac: 0.500 0.000 0.375
Ac: 0.000 0.500 0.125
Ac: 0.500 0.500 0.500
Ac: 0.000 0.500 0.625
Ac: 0.500 0.500 0.250
Ac: 0.500 0.500 0.000
Ac: 0.000 0.500 0.375
Ac: 0.500 0.000 0.625
Ac: 0.000 0.500 0.875
Ac: 0.500 0.500 0.750
Ac: 0.500 0.000 0.125
Tb: 0.000 0.000 0.000
Y: 0.000 0.000 0.750
Y: 0.000 0.000 0.500
Y: 0.000 0.000 0.250

DFT formation energy	30	meV per atom
space group	P4/mmm
final energy	-0.1673	Ha/atom

First-principles (PBE) data for crystalline RbSiSbSe4 at its relaxed geometry, as listed in Alexandria via LeMat-Bulk.

a = 6.915 Å, b = 7.090 Å, c = 9.549 Å
α = 90.00°, β = 108.28°, γ = 90.00°
Element x y z (fractional)
Se: 0.431 0.750 0.183
Se: 0.569 0.250 0.817
Se: 0.013 0.003 0.291
Se: 0.568 0.250 0.425
Se: 0.987 0.997 0.709
Se: 0.432 0.750 0.575
Se: 0.987 0.503 0.709
Se: 0.013 0.497 0.291
Sb: 0.234 0.250 0.512
Sb: 0.766 0.750 0.488
Rb: 0.735 0.750 0.942
Rb: 0.265 0.250 0.058
Si: 0.767 0.250 0.670
Si: 0.233 0.750 0.330

space group	P2_1/m
final energy	-0.1506	Ha/atom
formation energy without anion corrections	-0.61	eV per atom

First-principles (PBE) data for crystalline Cs2SmTlI6 at its relaxed geometry, as listed in Alexandria via LeMat-Bulk.

a = 8.851 Å, b = 9.578 Å, c = 12.929 Å
α = 90.00°, β = 90.00°, γ = 90.00°
Element x y z (fractional)
Tl: 0.000 0.715 0.500
Tl: 0.500 0.285 0.000
I: 0.244 0.437 0.500
I: 0.758 0.015 0.000
I: 0.756 0.437 0.500
I: 0.000 0.786 0.239
I: 0.256 0.563 0.000
I: 0.000 0.786 0.761
I: 0.500 0.214 0.739
I: 0.258 0.985 0.500
I: 0.242 0.015 0.000
I: 0.742 0.985 0.500
I: 0.500 0.214 0.261
I: 0.744 0.563 0.000
Cs: 0.500 0.801 0.785
Cs: 0.500 0.801 0.215
Cs: 0.000 0.199 0.285
Cs: 0.000 0.199 0.715
Sm: 0.000 0.780 0.000
Sm: 0.500 0.220 0.500

space group	Pmmn
final energy	-0.1151	Ha/atom
formation energy without anion corrections	-1.32	eV per atom

First-principles (PBE) data for crystalline YThRh2 at its relaxed geometry, as listed in Alexandria via LeMat-Bulk.

a = 3.529 Å, b = 4.948 Å, c = 4.948 Å
α = 90.00°, β = 90.00°, γ = 90.00°
Element x y z (fractional)
Rh: 0.000 0.000 0.500
Rh: 0.000 0.500 0.000
Y: 0.500 0.000 0.000
Th: 0.500 0.500 0.500

E above lowest polymorph	0.092	eV per atom
DFT formation energy	-812	meV per atom
space group	P4/mmm
final energy	-0.2925	Ha/atom

First-principles (PBE) data for crystalline TbPtSe2 at its relaxed geometry, as listed in Alexandria via LeMat-Bulk.

a = 3.786 Å, b = 3.786 Å, c = 8.647 Å
α = 77.36°, β = 77.36°, γ = 60.00°
Element x y z (fractional)
Tb: 0.000 0.000 0.000
Pt: 0.500 0.500 0.500
Se: 0.886 0.886 0.341
Se: 0.114 0.114 0.659

space group	R-3m
final energy	-0.1756	Ha/atom
formation energy without anion corrections	-0.37	eV per atom

First-principles (PBE) data for crystalline NaAc4Pb4 at its relaxed geometry, as listed in Alexandria via LeMat-Bulk.

a = 6.986 Å, b = 9.785 Å, c = 9.785 Å
α = 90.00°, β = 90.00°, γ = 90.00°
Element x y z (fractional)
Na: 0.500 0.500 0.500
Na: 0.000 0.000 0.000
Ac: 0.353 0.724 0.071
Ac: 0.853 0.429 0.224
Ac: 0.147 0.776 0.429
Ac: 0.147 0.224 0.571
Ac: 0.647 0.929 0.724
Ac: 0.853 0.571 0.776
Ac: 0.353 0.276 0.929
Ac: 0.647 0.071 0.276
Pb: 0.159 0.902 0.746
Pb: 0.841 0.254 0.902
Pb: 0.341 0.402 0.246
Pb: 0.341 0.598 0.754
Pb: 0.159 0.098 0.254
Pb: 0.659 0.246 0.598
Pb: 0.841 0.746 0.098
Pb: 0.659 0.754 0.402

DFT formation energy	-337	meV per atom
space group	P4_2/n
final energy	-0.1454	Ha/atom

First-principles (PBE) data for crystalline Tb2TlPd at its relaxed geometry, as listed in Alexandria via LeMat-Bulk.

a = 3.877 Å, b = 3.877 Å, c = 8.717 Å
α = 77.15°, β = 77.15°, γ = 60.00°
Element x y z (fractional)
Pd: 0.000 0.000 0.000
Tl: 0.500 0.500 0.500
Tb: 0.737 0.737 0.789
Tb: 0.263 0.263 0.211

DFT formation energy	-487	meV per atom
space group	R-3m
final energy	-0.1724	Ha/atom

First-principles (PBE) data for crystalline EuPaO3 at its relaxed geometry, as listed in Alexandria via LeMat-Bulk.

a = 4.453 Å, b = 4.453 Å, c = 4.453 Å
α = 90.00°, β = 90.00°, γ = 90.00°
Site moments in Bohr magnetons follow the coordinates.
Element x y z (fractional)
O: 0.000 0.000 0.500  -0.03
O: 0.000 0.500 0.000  -0.03
O: 0.500 0.000 0.000  -0.03
Pa: 0.000 0.000 0.000  0.74
Eu: 0.500 0.500 0.500  6.99

space group	Pm-3m
final energy	-0.3654	Ha/atom
formation energy without anion corrections	-3.02	eV per atom

First-principles (PBE) data for crystalline ScTlCr2 at its relaxed geometry, as listed in Alexandria via LeMat-Bulk.

a = 7.559 Å, b = 7.559 Å, c = 6.115 Å
α = 51.82°, β = 51.82°, γ = 90.00°
Site moments in Bohr magnetons follow the coordinates.
Element x y z (fractional)
Tl: 0.750 0.250 0.500  -0.07
Tl: 0.000 0.000 0.000  -0.07
Cr: 0.875 0.876 0.750  3.54
Cr: 0.626 0.125 0.250  3.52
Cr: 0.124 0.625 0.250  3.56
Cr: 0.375 0.374 0.750  3.51
Sc: 0.250 0.750 0.500  -0.02
Sc: 0.500 0.500 0.000  -0.01

DFT formation energy	803	meV per atom
space group	I-42d
final energy	-0.2272	Ha/atom

First-principles (PBE) data for crystalline La4Tl5Ni2 at its relaxed geometry, as listed in Alexandria via LeMat-Bulk.

a = 3.834 Å, b = 8.090 Å, c = 9.901 Å
α = 94.91°, β = 90.00°, γ = 90.00°
Element x y z (fractional)
Tl: 0.000 0.500 0.000
Tl: 0.000 0.840 0.858
Tl: 0.000 0.453 0.668
Tl: 0.000 0.547 0.332
Tl: 0.000 0.160 0.142
La: 0.500 0.184 0.839
La: 0.500 0.214 0.434
La: 0.500 0.816 0.161
La: 0.500 0.786 0.566
Ni: 0.000 0.929 0.374
Ni: 0.000 0.071 0.626

DFT formation energy	-354	meV per atom
space group	P2/m
final energy	-0.1570	Ha/atom

First-principles (PBE) data for crystalline ZrCu4 at its relaxed geometry, as listed in Alexandria via LeMat-Bulk.

a = 4.872 Å, b = 4.872 Å, c = 4.872 Å
α = 90.00°, β = 90.00°, γ = 90.00°
Site moments in Bohr magnetons follow the coordinates.
Element x y z (fractional)
Cu: 0.500 0.500 0.000  0.01
Cu: 0.000 0.500 0.500  0.01
Cu: 0.000 0.000 0.000  0.00
Cu: 0.500 0.000 0.500  0.01
Zr: 0.500 0.500 0.500  0.27

DFT formation energy	1514	meV per atom
space group	Pm-3m
final energy	-0.1276	Ha/atom

First-principles (PBE) data for crystalline Cd2In2Pt15 at its relaxed geometry, as listed in Alexandria via LeMat-Bulk.

a = 7.034 Å, b = 7.034 Å, c = 7.034 Å
α = 82.52°, β = 82.52°, γ = 82.52°
Element x y z (fractional)
Pt: 0.341 0.000 0.659
Pt: 0.667 0.667 0.175
Pt: 0.333 0.825 0.333
Pt: 0.000 0.659 0.341
Pt: 0.659 0.000 0.341
Pt: 0.333 0.333 0.825
Pt: 0.175 0.667 0.667
Pt: 0.667 0.175 0.667
Pt: 0.825 0.333 0.333
Pt: 0.000 0.341 0.659
Pt: 0.000 0.000 0.500
Pt: 0.500 0.000 0.000
Pt: 0.000 0.500 0.000
Pt: 0.341 0.659 0.000
Pt: 0.659 0.341 0.000
In: 0.363 0.363 0.363
In: 0.637 0.637 0.637
Cd: 0.895 0.895 0.895
Cd: 0.105 0.105 0.105

DFT formation energy	-92	meV per atom
space group	R-3m
final energy	-0.1928	Ha/atom

First-principles (PBE) data for crystalline CaBi2 at its relaxed geometry, as listed in Alexandria via LeMat-Bulk.

a = 4.614 Å, b = 4.797 Å, c = 8.865 Å
α = 105.58°, β = 90.00°, γ = 90.00°
Element x y z (fractional)
Bi: 0.250 0.244 0.990
Bi: 0.250 0.936 0.368
Bi: 0.750 0.064 0.632
Bi: 0.750 0.756 0.010
Ca: 0.750 0.403 0.302
Ca: 0.250 0.597 0.698

DFT formation energy	-540	meV per atom
space group	P2_1/m
final energy	-0.1394	Ha/atom

First-principles (PBE) data for crystalline Li2Ga5Pd12 at its relaxed geometry, as listed in Alexandria via LeMat-Bulk.

a = 5.529 Å, b = 7.648 Å, c = 8.473 Å
α = 105.28°, β = 90.00°, γ = 111.19°
Element x y z (fractional)
Pd: 0.493 0.986 0.657
Pd: 0.095 0.191 0.814
Pd: 0.564 0.622 0.892
Pd: 0.911 0.324 0.580
Pd: 0.413 0.324 0.580
Pd: 0.436 0.378 0.108
Pd: 0.507 0.014 0.343
Pd: 0.089 0.676 0.420
Pd: 0.905 0.809 0.186
Pd: 0.943 0.378 0.108
Pd: 0.587 0.676 0.420
Pd: 0.057 0.622 0.892
Ga: 0.000 0.000 0.500
Ga: 0.655 0.310 0.848
Ga: 0.345 0.690 0.152
Ga: 0.319 0.638 0.657
Ga: 0.681 0.362 0.343
Li: 0.749 0.000 0.000
Li: 0.251 0.000 0.000

DFT formation energy	-393	meV per atom
space group	C2/m
final energy	-0.1717	Ha/atom

First-principles (PBE) data for crystalline KRb2H2 at its relaxed geometry, as listed in Alexandria via LeMat-Bulk.

a = 8.358 Å, b = 8.358 Å, c = 4.548 Å
α = 90.00°, β = 90.00°, γ = 90.00°
Element x y z (fractional)
H: 0.167 0.333 0.000
H: 0.833 0.667 0.000
H: 0.333 0.833 0.000
H: 0.667 0.167 0.000
K: 0.500 0.500 0.000
K: 0.000 0.000 0.000
Rb: 0.152 0.652 0.500
Rb: 0.348 0.152 0.500
Rb: 0.848 0.348 0.500
Rb: 0.652 0.848 0.500

E above lowest polymorph	0.050	eV per atom
space group	P4/mbm
final energy	-0.0691	Ha/atom

First-principles (PBE) data for crystalline NbB3As at its relaxed geometry, as listed in Alexandria via LeMat-Bulk.

a = 4.292 Å, b = 4.292 Å, c = 4.292 Å
α = 90.00°, β = 90.00°, γ = 90.00°
Element x y z (fractional)
B: 0.500 0.000 0.000
B: 0.000 0.000 0.500
B: 0.000 0.500 0.000
As: 0.500 0.500 0.500
Nb: 0.000 0.000 0.000

E above lowest polymorph	0.000	eV per atom
DFT formation energy	1710	meV per atom
space group	Pm-3m
final energy	-0.1926	Ha/atom

First-principles (PBE) data for crystalline AlCo2Se4 at its relaxed geometry, as listed in Alexandria via LeMat-Bulk.

a = 7.225 Å, b = 7.225 Å, c = 7.223 Å
α = 60.01°, β = 60.01°, γ = 90.02°
Site moments in Bohr magnetons follow the coordinates.
Element x y z (fractional)
Se: 0.736 0.765 0.471  -0.01
Se: 0.293 0.764 0.472  -0.01
Se: 0.265 0.236 0.971  -0.01
Se: 0.736 0.207 0.028  -0.01
Se: 0.264 0.793 0.972  -0.01
Se: 0.735 0.764 0.029  -0.01
Se: 0.264 0.235 0.529  -0.01
Se: 0.707 0.236 0.528  -0.01
Al: 0.875 0.625 0.750  0.02
Al: 0.125 0.375 0.250  0.02
Co: 0.000 0.000 0.000  0.27
Co: 0.500 0.000 0.500  0.29
Co: 0.500 0.000 0.000  0.29
Co: 0.500 0.500 0.500  0.27

space group	Fd-3m
final energy	-0.1816	Ha/atom
formation energy without anion corrections	-0.38	eV per atom

First-principles (PBE) data for crystalline Na3MgAg8 at its relaxed geometry, as listed in Alexandria via LeMat-Bulk.

a = 5.619 Å, b = 5.619 Å, c = 9.812 Å
α = 73.36°, β = 73.36°, γ = 60.00°
Element x y z (fractional)
Ag: 0.935 0.437 0.191
Ag: 0.938 0.441 0.683
Ag: 0.437 0.935 0.191
Ag: 0.188 0.188 0.437
Ag: 0.938 0.938 0.683
Ag: 0.688 0.688 0.937
Ag: 0.437 0.437 0.191
Ag: 0.441 0.938 0.683
Na: 0.375 0.375 0.875
Na: 0.000 0.000 0.000
Na: 0.500 0.500 0.500
Mg: 0.874 0.874 0.378

DFT formation energy	-71	meV per atom
space group	R3m
final energy	-0.0895	Ha/atom

First-principles (PBE) data for crystalline SnTeIr2Os at its relaxed geometry, as listed in Alexandria via LeMat-Bulk.

a = 4.848 Å, b = 5.421 Å, c = 4.848 Å
α = 90.00°, β = 90.00°, γ = 90.00°
Site moments in Bohr magnetons follow the coordinates.
Element x y z (fractional)
Sn: 0.000 0.000 0.000  -0.02
Os: 0.500 0.500 0.500  2.69
Ir: 0.000 0.000 0.500  0.49
Ir: 0.500 0.000 0.000  0.47
Te: 0.000 0.500 0.000  0.01

space group	P4/mmm
final energy	-0.1761	Ha/atom
formation energy without anion corrections	2.43	eV per atom